Li5Co8O16 (PBE+U, optimized geometry); E above lowest polymorph = 10 meV per atom; space group = No. 1; DFT total energy = -5.69 eV/atom; ρ = 4.64 g cm⁻³; crystal system = triclinic
1.0
2.825 0.001 -0.163
-0.001 9.729 -0.382
-0.791 -4.719 10.163
Li Co O
5 8 16
direct
0.366 0.135 0.753
0.394 0.503 0.773
0.121 0.142 0.248
0.866 0.812 0.740
0.125 0.652 0.261
0.993 0.020 0.994
0.495 0.277 0.007
0.240 0.116 0.497
0.996 0.520 0.000
0.739 0.366 0.495
0.501 0.775 0.002
0.239 0.614 0.495
0.743 0.869 0.504
0.943 0.141 0.899
0.791 0.089 0.602
0.442 0.387 0.899
0.690 0.150 0.395
0.286 0.337 0.594
0.955 0.630 0.898
0.542 0.152 0.099
0.191 0.393 0.396
0.788 0.584 0.596
0.691 0.652 0.397
0.037 0.415 0.103
0.445 0.881 0.892
0.551 0.654 0.102
0.292 0.836 0.605
0.196 0.897 0.407
0.045 0.910 0.095